No. 1
This record from the Alexandria database describes a relaxed La3Nd4DySe8 crystal. The functional is PBE.

Cell: 8.499 8.480 8.499 Å, 120.07 120.00 90.00°
Positions (direct):
La  0.500  0.500  0.000
La  0.500  0.500  0.500
La  0.000  0.500  0.500
Nd  0.500  0.000  0.000
Nd  0.500  0.000  0.500
Nd  0.000  0.000  0.000
Nd  0.000  0.000  0.500
Dy  0.000  0.500  0.000
Se  0.245  0.748  0.003
Se  0.245  0.747  0.489
Se  0.248  0.245  0.497
Se  0.758  0.748  0.003
Se  0.242  0.252  0.997
Se  0.752  0.755  0.503
Se  0.755  0.253  0.511
Se  0.755  0.252  0.997

Output
magnetization	0.000	Bohr magnetons per cell
final energy	-6.03	eV per atom


No. 2
This record from the Alexandria database describes a relaxed LaNdDy2Se4 crystal. The functional is PBE.

Cell: 4.105 7.389 7.154 Å, 71.34 90.00 90.00°
Positions (direct):
La  0.500  0.500  0.000
Nd  0.000  0.500  0.500
Dy  0.000  0.000  0.000
Dy  0.500  0.000  0.500
Se  0.000  0.768  0.742
Se  0.000  0.232  0.258
Se  0.500  0.766  0.246
Se  0.500  0.234  0.754

Output
magnetization	0.000	Bohr magnetons per cell
final energy	-5.94	eV per atom


No. 3
This record from the Alexandria database describes a relaxed La2NdDySe4 crystal. The functional is PBE.

Cell: 4.193 7.351 7.366 Å, 109.03 90.00 90.00°
Positions (direct):
La  0.500  0.000  0.500
La  0.000  0.500  0.500
Nd  0.500  0.500  0.000
Dy  0.000  0.000  0.000
Se  0.500  0.238  0.235
Se  0.500  0.762  0.765
Se  0.000  0.246  0.760
Se  0.000  0.754  0.240

Output
magnetization	0.000	Bohr magnetons per cell
final energy	-6.04	eV per atom


No. 4
This record from the Alexandria database describes a relaxed La4NdDy3Se8 crystal. The functional is PBE.

Cell: 8.401 8.458 8.402 Å, 119.79 120.00 90.00°
Positions (direct):
La  0.500  0.000  0.000
La  0.500  0.000  0.500
La  0.000  0.000  0.000
La  0.000  0.000  0.500
Nd  0.000  0.500  0.000
Dy  0.500  0.500  0.000
Dy  0.500  0.500  0.500
Dy  0.000  0.500  0.500
Se  0.248  0.735  0.987
Se  0.249  0.735  0.498
Se  0.257  0.269  0.514
Se  0.739  0.735  0.987
Se  0.261  0.265  0.013
Se  0.743  0.731  0.486
Se  0.751  0.265  0.502
Se  0.752  0.265  0.013

Output
magnetization	0.000	Bohr magnetons per cell
final energy	-6.02	eV per atom


> What is the magnetization in the third record?

0.000 Bohr magnetons per cell